A plane-wave DFT calculation with GGA-PBE was carried out for a relaxed structure of KNiAu.

Its calculated formation energy is 190 meV per atom.

Cell lengths 3.525, 3.525, 11.555 Å; angles 90.00, 90.00, 90.00 degrees
Space group I4mm (No. 107)
Asymmetric unit:
K  0.000  0.000  0.000
Ni  0.000  0.000  0.266
Au  0.000  0.000  0.723



A plane-wave DFT calculation with GGA-PBE was carried out for a relaxed structure of CsSnAs2Se.

The energy relative to the elements, uncorrected is 150.2 meV/atom.

Cell lengths 5.454, 5.454, 5.640 Å; angles 90.00, 90.00, 90.00 degrees
Space group P4/mmm (No. 123)
Asymmetric unit:
Cs  0.000  0.000  0.000
Sn  0.500  0.500  0.500
As  0.000  0.500  0.500
Se  0.500  0.500  0.000



A plane-wave DFT calculation with GGA-PBE was carried out for a relaxed structure of PuTi2Re.

Its calculated formation energy is 40 meV per atom.

Cell lengths 6.497, 6.497, 6.497 Å; angles 90.00, 90.00, 90.00 degrees
Space group Fm-3m (No. 225)
Asymmetric unit:
Pu  0.000  0.000  0.000
Ti  0.250  0.250  0.250
Re  0.000  0.000  0.500



A plane-wave DFT calculation with GGA-PBE was carried out for a relaxed structure of PmSi2Pt8.

The energy relative to the elements, uncorrected is -423.9 meV/atom.

Cell lengths 5.438, 5.438, 7.628 Å; angles 90.00, 90.00, 90.00 degrees
Space group P4/mmm (No. 123)
Asymmetric unit:
Pm  0.000  0.000  0.000
Si  0.000  0.500  0.500
Pt  0.253  0.253  0.299



A plane-wave DFT calculation with GGA-PBE was carried out for a relaxed structure of Pm3Cd3In2.

Its calculated formation energy is -366 meV per atom.

Cell lengths 4.808, 11.510, 15.900 Å; angles 90.00, 90.00, 90.00 degrees
Space group Cmcm (No. 63)
Asymmetric unit:
Pm  0.000  0.086  0.110
Pm  0.000  0.356  0.250
Cd  0.000  0.365  0.750
Cd  0.000  0.385  0.035
In  0.000  0.205  0.607



A plane-wave DFT calculation with GGA-PBE was carried out for a relaxed structure of BeGePd4.

Its calculated formation energy is -475 meV per atom.

Cell lengths 6.588, 3.467, 14.899 Å; angles 90.00, 90.00, 90.00 degrees
Space group Pnma (No. 62)
Asymmetric unit:
Be  0.248  0.250  0.057
Ge  0.247  0.250  0.812
Pd  0.003  0.750  0.431
Pd  0.059  0.750  0.715
Pd  0.123  0.750  0.149
Pd  0.141  0.750  0.951



no.,energy (eV per atom),total moment (μB/atom)
1,-3.20,0.000
2,-3.38,0.383
3,-10.60,1.137
4,-6.24,0.000
5,-3.18,0.000
6,-5.33,0.000